No. 1
8
Lattice="3.844 0.000 0.000 0.000 3.844 0.000 0.000 0.000 8.459" Properties=species:S:1:pos:R:3 comment="PmCuPF (PBE, relaxed)" sg=P4/nmm e_form_raw_ev_per_atom=-1.959 energy_ev_per_cell=-47.929 pbc="T T T"
Pm 0.961 0.961 1.612
Pm 2.883 2.883 6.848
Cu 0.961 2.883 4.230
Cu 2.883 0.961 4.230
P 0.961 0.961 5.689
P 2.883 2.883 2.770
F 0.961 2.883 0.000
F 2.883 0.961 0.000

No. 2
5
Lattice="5.028 0.000 0.000 0.000 5.028 0.000 0.000 0.000 4.908" Properties=species:S:1:pos:R:3 comment="Ga2AgGeN (PBE, relaxed)" sg=P4/mmm e_form_raw_ev_per_atom=1.299 energy_ev_per_cell=-15.354 pbc="T T T"
Ga 0.000 2.514 0.000
Ga 2.514 0.000 0.000
Ag 0.000 0.000 2.454
Ge 0.000 0.000 0.000
N 2.514 2.514 2.454

No. 3
4
Lattice="3.586 0.000 0.000 0.000 3.586 0.000 0.000 0.000 8.418" Properties=species:S:1:pos:R:3 comment="Eu2AlCl (PBE, relaxed)" sg=P4/mmm e_form_raw_ev_per_atom=-0.873 energy_ev_per_cell=-29.630 pbc="T T T"
Eu 0.000 0.000 2.054
Eu 0.000 0.000 6.365
Al 1.793 1.793 0.000
Cl 1.793 1.793 4.209

No. 4
8
Lattice="4.372 -6.139 0.000 4.372 6.139 0.000 0.000 0.000 4.320" Properties=species:S:1:pos:R:3 comment="Er3PuTe4 (PBE, relaxed)" sg=Cmmm e_form_raw_ev_per_atom=-1.203 energy_ev_per_cell=-50.209 pbc="T T T"
Er 0.000 0.000 0.000
Er 2.186 3.069 2.160
Er 2.186 -3.069 2.160
Pu 4.372 0.000 0.000
Te 2.141 0.000 2.160
Te 4.372 3.103 0.000
Te 4.372 -3.103 0.000
Te 6.603 0.000 2.160

No. 5
9
Lattice="4.310 0.000 0.000 0.000 4.310 0.000 0.000 0.000 10.128" Properties=species:S:1:pos:R:3 comment="Sc5Sb2PC (PBE, relaxed)" sg=P4/mmm e_form_raw_ev_per_atom=-0.892 energy_ev_per_cell=-62.561 pbc="T T T"
Sc 0.000 0.000 0.000
Sc 0.000 2.155 5.064
Sc 2.155 0.000 5.064
Sc 2.155 2.155 2.584
Sc 2.155 2.155 7.544
Sb 0.000 0.000 2.898
Sb 0.000 0.000 7.230
P 2.155 2.155 0.000
C 2.155 2.155 5.064

No. 6
19
Lattice="5.393 3.114 5.269 -5.393 3.114 5.269 0.000 -6.227 5.269" Properties=species:S:1:pos:R:3 comment="Ba2Er2Mg15 (PBE, relaxed)" e_form_ev_per_atom=-0.035 sg=R-3m energy_ev_per_cell=-37.551 pbc="T T T"
Ba 0.000 0.000 2.549
Ba 0.000 0.000 13.257
Er 0.000 0.000 6.351
Er 0.000 0.000 9.456
Mg -2.696 -1.557 5.269
Mg 0.000 -3.120 4.992
Mg -2.702 1.560 4.992
Mg -1.551 -2.686 7.903
Mg -3.101 0.000 7.903
Mg -2.702 -1.560 10.815
Mg -2.696 1.557 10.538
Mg 1.551 -2.686 7.903
Mg 0.000 3.114 5.269
Mg -1.551 2.686 7.903
Mg 2.702 1.560 4.992
Mg 3.101 0.000 7.903
Mg 1.551 2.686 7.903
Mg 2.702 -1.560 10.815
Mg 0.000 3.120 10.815

No. 7
4
Lattice="0.000 3.570 3.570 3.570 0.000 3.570 3.570 3.570 0.000" Properties=species:S:1:pos:R:3 comment="LaPrIrRu (PBE, relaxed)" e_form_ev_per_atom=-0.281 sg=F-43m energy_ev_per_cell=-28.966 pbc="T T T"
La 0.000 0.000 0.000
Pr 3.570 3.570 3.570
Ir 5.354 5.354 5.354
Ru 1.785 1.785 1.785

No. 8
4
Lattice="3.745 -3.750 0.000 3.745 3.750 0.000 0.000 0.000 3.643" Properties=species:S:1:pos:R:3 comment="InSb2Se (PBE, relaxed)" sg=Cmmm e_form_raw_ev_per_atom=0.130 energy_ev_per_cell=-13.950 pbc="T T T"
In 0.000 0.000 0.000
Sb 1.873 1.875 1.821
Sb 1.873 -1.875 1.821
Se 3.745 0.000 0.000